Entry 1:
First-principles (PBE) data for a relaxed structure of Nb2CdSn2, as listed in Alexandria.

Cell: 7.697 7.697 3.669 Å, 90.00 90.00 90.00°
Atoms (fractional coordinates):
Sn (0.670, 0.830, 0.500)
Sn (0.830, 0.330, 0.500)
Sn (0.330, 0.170, 0.500)
Sn (0.170, 0.670, 0.500)
Cd (0.500, 0.500, 0.000)
Cd (0.000, 0.000, 0.000)
Nb (0.624, 0.124, 0.000)
Nb (0.376, 0.876, 0.000)
Nb (0.876, 0.624, 0.000)
Nb (0.124, 0.376, 0.000)

E_tot: -57.50 eV for the cell shown
spin magnetization: 0.00 Bohr magnetons per cell
crystal system: tetragonal
ΔE to the lowest computed polymorph: 0.0 meV per atom
D(E_F): 0.394 states/eV/atom
energy of formation from the pure elements: 0.31 eV per formula unit

***

Entry 2:
First-principles (PBE) data for a relaxed structure of Zn2ReF2, as listed in Alexandria.

Cell: 7.246 7.246 2.561 Å, 90.00 90.00 90.00°
Last column: magnetic moment on the atom in μB.
Atoms (fractional coordinates):
F (0.615, 0.885, 0.500)  0.02
F (0.115, 0.615, 0.500)  0.02
F (0.385, 0.115, 0.500)  0.02
F (0.885, 0.385, 0.500)  0.02
Zn (0.651, 0.151, 0.000)  -0.01
Zn (0.849, 0.651, 0.000)  -0.01
Zn (0.151, 0.349, 0.000)  -0.01
Zn (0.349, 0.849, 0.000)  -0.01
Re (0.000, 0.000, 0.000)  1.12
Re (0.500, 0.500, 0.000)  1.12

formation energy from raw total energies: -238 meV/atom
E_tot: -39.86 eV for the cell shown
spin magnetization: 2.69 Bohr magnetons per cell
crystal system: tetragonal
ΔE to the lowest computed polymorph: 250.5 meV per atom
D(E_F): 0.407 states/eV/atom

***

Entry 3:
First-principles (PBE) data for a relaxed structure of Zr3BF, as listed in Alexandria.

Cell: 4.634 4.634 4.634 Å, 90.00 90.00 90.00°
Atoms (fractional coordinates):
F (0.500, 0.500, 0.500)
Zr (0.500, 0.000, 0.000)
Zr (0.000, 0.000, 0.500)
Zr (0.000, 0.500, 0.000)
B (0.000, 0.000, 0.000)

formation energy from raw total energies: -61 meV/atom
E_tot: -34.50 eV for the cell shown
spin magnetization: 0.00 Bohr magnetons per cell
crystal system: cubic
ΔE to the lowest computed polymorph: 0.0 meV per atom
D(E_F): 1.236 states/eV/atom

***

Entry 4:
First-principles (PBE) data for a relaxed structure of LiNb2RhSe, as listed in Alexandria.

Cell: 4.773 4.130 4.773 Å, 90.00 90.00 90.00°
Atoms (fractional coordinates):
Li (0.000, 0.500, 0.000)
Rh (0.500, 0.500, 0.500)
Se (0.000, 0.000, 0.000)
Nb (0.000, 0.000, 0.500)
Nb (0.500, 0.000, 0.000)

formation energy from raw total energies: 470 meV/atom
E_tot: -30.54 eV for the cell shown
spin magnetization: 0.00 Bohr magnetons per cell
crystal system: tetragonal
ΔE to the lowest computed polymorph: 0.0 meV per atom
D(E_F): 1.198 states/eV/atom

***

Entry 5:
First-principles (PBE) data for a relaxed structure of Tl3In3Hg, as listed in Alexandria.

Cell: 5.496 6.518 11.566 Å, 77.82 90.00 90.00°
Atoms (fractional coordinates):
In (0.250, 0.463, 0.695)
In (0.750, 0.953, 0.424)
In (0.750, 0.537, 0.305)
In (0.750, 0.205, 0.841)
In (0.250, 0.795, 0.159)
In (0.250, 0.047, 0.576)
Tl (0.750, 0.646, 0.015)
Tl (0.250, 0.903, 0.862)
Tl (0.750, 0.097, 0.138)
Tl (0.250, 0.250, 0.289)
Tl (0.750, 0.750, 0.711)
Tl (0.250, 0.354, 0.985)
Hg (0.250, 0.679, 0.435)
Hg (0.750, 0.321, 0.565)

E_tot: -30.91 eV for the cell shown
spin magnetization: 0.00 Bohr magnetons per cell
crystal system: monoclinic
ΔE to the lowest computed polymorph: 3.8 meV per atom
D(E_F): 0.456 states/eV/atom
energy of formation from the pure elements: 0.16 eV per formula unit

***

Entry 6:
First-principles (PBE) data for a relaxed structure of DyTh5Tl4, as listed in Alexandria.

Cell: 4.811 12.256 10.823 Å, 90.00 90.00 90.00°
Atoms (fractional coordinates):
Tl (0.750, 0.751, 0.000)
Tl (0.750, 0.000, 0.704)
Tl (0.250, 0.251, 0.500)
Tl (0.750, 0.000, 0.296)
Tl (0.250, 0.500, 0.796)
Tl (0.750, 0.249, 0.000)
Tl (0.250, 0.500, 0.204)
Tl (0.250, 0.749, 0.500)
Th (0.250, 0.164, 0.817)
Th (0.750, 0.336, 0.683)
Th (0.750, 0.664, 0.317)
Th (0.750, 0.500, 0.000)
Th (0.750, 0.664, 0.683)
Th (0.250, 0.836, 0.183)
Th (0.250, 0.000, 0.500)
Th (0.750, 0.336, 0.317)
Th (0.250, 0.836, 0.817)
Th (0.250, 0.164, 0.183)
Dy (0.249, 0.500, 0.500)
Dy (0.751, 0.000, 0.000)

E_tot: -101.66 eV for the cell shown
spin magnetization: 0.00 Bohr magnetons per cell
crystal system: orthorhombic
D(E_F): 1.369 states/eV/atom
energy of formation from the pure elements: 0.34 eV per formula unit

***

Entry 7:
First-principles (PBE) data for a relaxed structure of Th2InGe4Pd3, as listed in Alexandria.

Cell: 4.362 4.362 10.603 Å, 90.00 90.00 90.00°
Atoms (fractional coordinates):
In (0.500, 0.500, 0.500)
Th (0.500, 0.000, 0.236)
Th (0.000, 0.500, 0.764)
Pd (0.500, 0.000, 0.880)
Pd (0.000, 0.500, 0.120)
Pd (0.000, 0.000, 0.500)
Ge (0.500, 0.000, 0.650)
Ge (0.500, 0.500, 0.000)
Ge (0.000, 0.000, 0.000)
Ge (0.000, 0.500, 0.350)

E_tot: -58.20 eV for the cell shown
spin magnetization: 0.00 Bohr magnetons per cell
crystal system: tetragonal
D(E_F): 0.284 states/eV/atom
energy of formation from the pure elements: -6.58 eV per formula unit

***

Entry 8:
First-principles (PBE) data for a relaxed structure of KRbFe2Rh, as listed in Alexandria.

Cell: 4.927 5.455 4.927 Å, 90.00 90.00 90.00°
Last column: magnetic moment on the atom in μB.
Atoms (fractional coordinates):
Rb (0.000, 0.500, 0.000)  -0.02
Fe (0.500, 0.000, 0.000)  3.24
Fe (0.000, 0.000, 0.500)  2.58
Rh (0.500, 0.500, 0.500)  0.20
K (0.000, 0.000, 0.000)  -0.05

E_tot: -14.77 eV for the cell shown
spin magnetization: 5.83 Bohr magnetons per cell
crystal system: tetragonal
D(E_F): 1.289 states/eV/atom
energy of formation from the pure elements: 11.57 eV per formula unit

***

Entry 9:
First-principles (PBE) data for a relaxed structure of HfMn9Mo2, as listed in Alexandria.

Cell: 4.731 4.731 8.259 Å, 73.36 73.36 60.00°
Last column: magnetic moment on the atom in μB.
Atoms (fractional coordinates):
Mn (0.409, 0.926, 0.256)  -0.01
Mn (0.409, 0.409, 0.256)  -0.01
Mn (0.591, 0.074, 0.744)  -0.01
Mn (0.074, 0.591, 0.744)  -0.01
Mn (0.591, 0.591, 0.744)  -0.01
Mn (0.926, 0.409, 0.256)  -0.01
Mn (0.661, 0.661, 0.016)  0.00
Mn (0.500, 0.500, 0.500)  0.47
Mn (0.339, 0.339, 0.984)  0.00
Mo (0.140, 0.140, 0.579)  0.01
Mo (0.860, 0.860, 0.421)  0.01
Hf (0.000, 0.000, 0.000)  -0.01

E_tot: -114.77 eV for the cell shown
spin magnetization: 0.47 Bohr magnetons per cell
crystal system: trigonal
D(E_F): 1.169 states/eV/atom
energy of formation from the pure elements: -0.63 eV per formula unit

***

Entry 10:
First-principles (PBE) data for a relaxed structure of Tm5Ge, as listed in Alexandria.

Cell: 4.734 4.648 7.596 Å, 107.81 90.00 90.00°
Atoms (fractional coordinates):
Tm (0.500, 0.500, 0.000)
Tm (0.500, 0.833, 0.667)
Tm (0.000, 0.658, 0.317)
Tm (0.500, 0.167, 0.333)
Tm (0.000, 0.342, 0.683)
Ge (0.000, 0.000, 0.000)

E_tot: -28.11 eV for the cell shown
spin magnetization: 0.00 Bohr magnetons per cell
crystal system: orthorhombic
D(E_F): 1.076 states/eV/atom
energy of formation from the pure elements: -1.14 eV per formula unit

***

Entry 11:
First-principles (PBE) data for a relaxed structure of TbPrSc2Se4, as listed in Alexandria.

Cell: 3.971 7.096 6.938 Å, 71.24 90.00 90.00°
Atoms (fractional coordinates):
Pr (0.500, 0.500, 0.000)
Sc (0.500, 0.000, 0.500)
Sc (0.000, 0.000, 0.000)
Se (0.000, 0.777, 0.734)
Se (0.000, 0.223, 0.266)
Se (0.500, 0.228, 0.751)
Se (0.500, 0.772, 0.249)
Tb (0.000, 0.500, 0.500)

formation energy from raw total energies: -1684 meV/atom
E_tot: -49.48 eV for the cell shown
spin magnetization: 0.00 Bohr magnetons per cell
crystal system: monoclinic
D(E_F): 0.580 states/eV/atom

***

Entry 12:
First-principles (PBE) data for a relaxed structure of Pm3Sb4Ir3, as listed in Alexandria.

Cell: 8.562 8.562 8.562 Å, 109.47 109.47 109.47°
Atoms (fractional coordinates):
Pm (0.875, 0.250, 0.625)
Pm (0.750, 0.625, 0.375)
Pm (0.625, 0.750, 0.875)
Pm (0.375, 0.125, 0.750)
Pm (0.125, 0.375, 0.250)
Pm (0.250, 0.875, 0.125)
Ir (0.125, 0.750, 0.375)
Ir (0.875, 0.625, 0.750)
Ir (0.250, 0.375, 0.625)
Ir (0.625, 0.875, 0.250)
Ir (0.375, 0.250, 0.125)
Ir (0.750, 0.125, 0.875)
Sb (0.151, 0.651, 0.651)
Sb (0.651, 0.151, 0.151)
Sb (0.849, 0.500, 0.000)
Sb (0.500, 0.849, 0.500)
Sb (0.000, 0.000, 0.349)
Sb (0.500, 0.349, 0.500)
Sb (0.349, 0.500, 0.000)
Sb (0.000, 0.000, 0.849)

formation energy from raw total energies: -751 meV/atom
E_tot: -129.67 eV for the cell shown
spin magnetization: 0.00 Bohr magnetons per cell
crystal system: cubic
D(E_F): 1.178 states/eV/atom

***

Which value of E_tot does entry 11 give?
-49.48 eV for the cell shown